No. 1
Density functional theory data (GGA-PBE) for a relaxed Y2PuRh3 crystal.

Cell and atoms, written as POSCAR:
```
Y2PuRh3
1.0
3.4296 0.0000 0.0000
0.0000 3.4296 0.0000
0.0000 0.0000 10.3589
Y Pu Rh
2 1 3
Direct
0.0000 0.0000 0.1661 Y
0.0000 0.0000 0.8339 Y
0.0000 0.0000 0.5000 Pu
0.5000 0.5000 0.0000 Rh
0.5000 0.5000 0.3355 Rh
0.5000 0.5000 0.6645 Rh
```

Symmetry: No. 123
Energy relative to the elements (meV/atom): -676
E_tot (eV per atom): -8.89

No. 2
Density functional theory data (GGA-PBE) for a relaxed Y2PuRh9 crystal.

Cell and atoms, written as POSCAR:
```
Y2PuRh9
1.0
2.6309 1.5190 8.7853
-2.6309 1.5190 8.7853
0.0000 -3.0379 8.7853
Y Pu Rh
2 1 9
Direct
0.1390 0.1390 0.1390 Y
0.8610 0.8610 0.8610 Y
0.0000 0.0000 0.0000 Pu
0.0824 0.5831 0.5831 Rh
0.3332 0.3332 0.3332 Rh
0.4169 0.4169 0.9176 Rh
0.4169 0.9176 0.4169 Rh
0.5000 0.5000 0.5000 Rh
0.5831 0.0824 0.5831 Rh
0.5831 0.5831 0.0824 Rh
0.6668 0.6668 0.6668 Rh
0.9176 0.4169 0.4169 Rh
```

Symmetry: No. 166
Energy relative to the elements (meV/atom): -492
E_tot (eV per atom): -8.28

No. 3
Density functional theory data (GGA-PBE) for a relaxed YPu2Rh crystal.

Cell and atoms, written as POSCAR:
```
YPu2Rh
1.0
1.7586 1.0153 10.1015
-1.7586 1.0153 10.1015
0.0000 -2.0307 10.1015
Y Pu Rh
1 2 1
Direct
0.0000 0.0000 0.0000 Y
0.1035 0.1035 0.1035 Pu
0.8965 0.8965 0.8965 Pu
0.5000 0.5000 0.5000 Rh
```

Symmetry: No. 166
Energy relative to the elements (meV/atom): 112
E_tot (eV per atom): -10.51